VASP calculation (GGA-PBE) on crystalline CaNiMo at its relaxed geometry.

Results
Volume   131 Å³/cell
Formation enthalpy at 0 K   0.5459 eV/atom
Total energy   -5.66 eV per atom
Space-group type   P6_3/mmc

The structure in CIF format:
```
data_CaNiMo
_cell_length_a 3.9823
_cell_length_b 3.9823
_cell_length_c 9.5223
_cell_angle_alpha 90.00
_cell_angle_beta 90.00
_cell_angle_gamma 120.00
_symmetry_space_group_name_H-M 'P 1'
_symmetry_Int_Tables_number 1
loop_
_symmetry_equiv_pos_as_xyz
'x,y,z'
loop_
_atom_site_label
_atom_site_type_symbol
_atom_site_fract_x
_atom_site_fract_y
_atom_site_fract_z
Ca1 Ca 0.0000 0.0000 0.0000
Ca2 Ca 0.0000 0.0000 0.5000
Ni1 Ni 0.3333 0.6667 0.7500
Mo1 Mo 0.3333 0.6667 0.2500
Mo2 Mo 0.6667 0.3333 0.7500
Ni2 Ni 0.6667 0.3333 0.2500
```



VASP calculation (GGA-PBE) on crystalline Ca2NiMo at its relaxed geometry.

Results
Volume   81 Å³/cell
Formation enthalpy at 0 K   0.5454 eV/atom
Total energy   -4.61 eV per atom
Space-group type   Cmmm

The structure in CIF format:
```
data_Ca2NiMo
_cell_length_a 3.0228
_cell_length_b 3.0228
_cell_length_c 8.8944
_cell_angle_alpha 90.00
_cell_angle_beta 90.00
_cell_angle_gamma 89.89
_symmetry_space_group_name_H-M 'P 1'
_symmetry_Int_Tables_number 1
loop_
_symmetry_equiv_pos_as_xyz
'x,y,z'
loop_
_atom_site_label
_atom_site_type_symbol
_atom_site_fract_x
_atom_site_fract_y
_atom_site_fract_z
Ca1 Ca 0.0000 0.0000 0.9733
Ni1 Ni 0.5000 0.5000 0.7500
Ca2 Ca 0.0000 0.0000 0.5267
Mo1 Mo 0.5000 0.5000 0.2500
```



VASP calculation (GGA-PBE) on crystalline Ca2NiMo at its relaxed geometry.

Results
Volume   84 Å³/cell
Formation enthalpy at 0 K   0.7088 eV/atom
Total energy   -4.45 eV per atom
Space-group type   Immm

The structure in CIF format:
```
data_Ca2NiMo
_cell_length_a 5.6451
_cell_length_b 5.6451
_cell_length_c 4.8824
_cell_angle_alpha 64.35
_cell_angle_beta 64.35
_cell_angle_gamma 37.62
_symmetry_space_group_name_H-M 'P 1'
_symmetry_Int_Tables_number 1
loop_
_symmetry_equiv_pos_as_xyz
'x,y,z'
loop_
_atom_site_label
_atom_site_type_symbol
_atom_site_fract_x
_atom_site_fract_y
_atom_site_fract_z
Ca1 Ca 0.5344 0.5344 0.4656
Ca2 Ca 0.9656 0.9656 0.0344
Ni1 Ni 0.2500 0.2500 0.2500
Mo1 Mo 0.7500 0.7500 0.7500
```



VASP calculation (GGA-PBE) on crystalline CaNi2Mo at its relaxed geometry.

Results
Volume   62 Å³/cell
Formation enthalpy at 0 K   0.3203 eV/atom
Total energy   -5.78 eV per atom
Space-group type   Imm2

The structure in CIF format:
```
data_CaNi2Mo
_cell_length_a 5.6617
_cell_length_b 5.6617
_cell_length_c 5.6617
_cell_angle_alpha 152.16
_cell_angle_beta 132.26
_cell_angle_gamma 56.17
_symmetry_space_group_name_H-M 'P 1'
_symmetry_Int_Tables_number 1
loop_
_symmetry_equiv_pos_as_xyz
'x,y,z'
loop_
_atom_site_label
_atom_site_type_symbol
_atom_site_fract_x
_atom_site_fract_y
_atom_site_fract_z
Ni1 Ni 0.7823 0.2823 0.5000
Mo1 Mo 0.2156 0.7156 0.5000
Ni2 Ni 0.9934 0.9934 0.0000
Ca1 Ca 0.5087 0.5087 0.0000
```



VASP calculation (GGA-PBE) on crystalline Ca2Ni2Mo at its relaxed geometry.

Results
Volume   194 Å³/cell
Formation enthalpy at 0 K   0.2321 eV/atom
Total energy   -5.05 eV per atom
Space-group type   P4/mbm

The structure in CIF format:
```
data_Ca2Ni2Mo
_cell_length_a 6.4331
_cell_length_b 6.4331
_cell_length_c 4.6764
_cell_angle_alpha 90.00
_cell_angle_beta 90.00
_cell_angle_gamma 90.00
_symmetry_space_group_name_H-M 'P 1'
_symmetry_Int_Tables_number 1
loop_
_symmetry_equiv_pos_as_xyz
'x,y,z'
loop_
_atom_site_label
_atom_site_type_symbol
_atom_site_fract_x
_atom_site_fract_y
_atom_site_fract_z
Ni1 Ni 0.3673 0.8673 0.0000
Ca1 Ca 0.6794 0.8206 0.5000
Ca2 Ca 0.3206 0.1794 0.5000
Ni2 Ni 0.8673 0.6327 0.0000
Ca3 Ca 0.8206 0.3206 0.5000
Ca4 Ca 0.1794 0.6794 0.5000
Ni3 Ni 0.1327 0.3673 0.0000
Ni4 Ni 0.6327 0.1327 0.0000
Mo1 Mo 0.5000 0.5000 0.0000
Mo2 Mo 0.0000 0.0000 0.0000
```



VASP calculation (GGA-PBE) on crystalline Ca2NiMo at its relaxed geometry.

Results
Volume   84 Å³/cell
Formation enthalpy at 0 K   0.7250 eV/atom
Total energy   -4.43 eV per atom
Space-group type   Cmmm

The structure in CIF format:
```
data_Ca2NiMo
_cell_length_a 7.0158
_cell_length_b 5.4597
_cell_length_c 2.9677
_cell_angle_alpha 89.99
_cell_angle_beta 65.00
_cell_angle_gamma 121.85
_symmetry_space_group_name_H-M 'P 1'
_symmetry_Int_Tables_number 1
loop_
_symmetry_equiv_pos_as_xyz
'x,y,z'
loop_
_atom_site_label
_atom_site_type_symbol
_atom_site_fract_x
_atom_site_fract_y
_atom_site_fract_z
Ca1 Ca 0.0000 0.0000 0.0000
Ni1 Ni 0.5000 0.5000 0.0000
Ca2 Ca 0.5000 0.0000 0.5000
Mo1 Mo 0.0000 0.5000 0.5000
```



VASP calculation (GGA-PBE) on crystalline CaNiMo3 at its relaxed geometry.

Results
Volume   93 Å³/cell
Formation enthalpy at 0 K   2.8216 eV/atom
Total energy   -5.23 eV per atom
Space-group type   Pm-3m

The structure in CIF format:
```
data_CaNiMo3
_cell_length_a 4.5362
_cell_length_b 4.5362
_cell_length_c 4.5362
_cell_angle_alpha 90.00
_cell_angle_beta 90.00
_cell_angle_gamma 90.00
_symmetry_space_group_name_H-M 'P 1'
_symmetry_Int_Tables_number 1
loop_
_symmetry_equiv_pos_as_xyz
'x,y,z'
loop_
_atom_site_label
_atom_site_type_symbol
_atom_site_fract_x
_atom_site_fract_y
_atom_site_fract_z
Ca1 Ca 0.0000 0.0000 0.0000
Mo1 Mo 0.0000 0.5000 0.0000
Mo2 Mo 0.0000 0.0000 0.5000
Ni1 Ni 0.5000 0.5000 0.5000
Mo3 Mo 0.5000 0.0000 0.0000
```



VASP calculation (GGA-PBE) on crystalline Ca2NiMo at its relaxed geometry.

Results
Volume   83 Å³/cell
Formation enthalpy at 0 K   0.7349 eV/atom
Total energy   -4.42 eV per atom
Space-group type   R-3m

The structure in CIF format:
```
data_Ca2NiMo
_cell_length_a 9.5129
_cell_length_b 9.5129
_cell_length_c 9.5129
_cell_angle_alpha 19.37
_cell_angle_beta 19.37
_cell_angle_gamma 19.37
_symmetry_space_group_name_H-M 'P 1'
_symmetry_Int_Tables_number 1
loop_
_symmetry_equiv_pos_as_xyz
'x,y,z'
loop_
_atom_site_label
_atom_site_type_symbol
_atom_site_fract_x
_atom_site_fract_y
_atom_site_fract_z
Ca1 Ca 0.4932 0.4932 0.4932
Mo1 Mo 0.2500 0.2500 0.2500
Ni1 Ni 0.7500 0.7500 0.7500
Ca2 Ca 0.0068 0.0068 0.0068
```